(1)
A relaxed AcScIn2 crystal. Source: the Alexandria database, functional PBE-GGA.

POSCAR file:
```
AcScIn2
1.0
1.8574 1.0724 10.0299
-1.8574 1.0724 10.0299
0.0000 -2.1448 10.0299
Ac Sc In
1 1 2
Cartesian
0.0000 0.0000 0.0000
0.0000 0.0000 15.0449
0.0000 0.0000 7.2312
0.0000 0.0000 22.8587
```

DOS(E_F)   3.79 states/eV/f.u.
DFT formation energy   -0.190 eV per atom
Space group   R-3m, No. 166



(2)
A relaxed Ba2SrHgIr crystal. Source: the Alexandria database, functional PBE-GGA.

POSCAR file:
```
Ba2SrHgIr
1.0
6.7748 0.0000 0.0000
0.0000 6.7748 0.0000
0.0000 0.0000 4.9884
Ba Sr Hg Ir
2 1 1 1
Cartesian
0.0000 3.3874 0.0000
3.3874 0.0000 0.0000
0.0000 0.0000 0.0000
3.3874 3.3874 2.4942
0.0000 0.0000 2.4942
```

DOS(E_F)   7.12 states/eV/f.u.
DFT formation energy   0.718 eV per atom
Energy relative to the lowest polymorph listed for this composition   4.534 eV per formula unit
Space group   P4/mmm, No. 123



(3)
A relaxed RbTlTe3As crystal. Source: the Alexandria database, functional PBE-GGA.

POSCAR file:
```
RbTlTe3As
1.0
8.3628 0.0000 0.0000
0.0000 4.7945 0.0000
-1.5522 0.0000 12.1359
Rb Tl Te As
2 2 6 2
Cartesian
1.5101 1.1986 2.0345
5.3005 3.5959 10.1014
1.1759 3.5959 6.7755
5.6347 1.1986 5.3604
-0.7809 1.1986 8.4088
1.7841 3.5959 11.3747
3.4911 3.5959 4.0687
3.3195 1.1986 8.0672
5.0265 1.1986 0.7612
7.5915 3.5959 3.7271
1.4109 1.1986 9.8359
5.3997 3.5959 2.3000
```

DOS(E_F)   0.99 states/eV/f.u.
E_tot   -3.2422 eV/atom
Space group   P2_1/m, No. 11



(4)
A relaxed La2AlW crystal. Source: the Alexandria database, functional PBE-GGA.

POSCAR file:
```
La2AlW
1.0
5.7166 -1.5388 0.0000
5.7166 1.5388 0.0000
-0.5412 0.0000 5.2862
La Al W
2 1 1
Cartesian
2.5011 0.0000 1.2910
8.3910 0.0000 3.9952
5.7166 0.0000 0.0000
-0.2706 0.0000 2.6431
```

DOS(E_F)   4.65 states/eV/f.u.
DFT formation energy   0.620 eV per atom
Space group   C2/m, No. 12